<one>
The following is a PBE-GGA calculation of an optimized crystal structure of Re2RhBr, from Alexandria via LeMat-Bulk.

abc: 5.486 5.486 5.486
angles: 149.07 131.84 58.34
Sites, in units of the cell vectors:
Re: 0.230 0.230 0.000
Re: 0.770 0.770 0.000
Rh: 0.500 0.000 0.500
Br: 0.000 0.500 0.500

Properties
space-group type	Immm, No. 71

***

<two>
The following is a PBE-GGA calculation of an optimized crystal structure of Re2RhBr, from Alexandria via LeMat-Bulk.

abc: 4.427 4.427 4.427
angles: 60.00 60.00 60.00
Sites, in units of the cell vectors:
Re: 0.250 0.250 0.250
Re: 0.750 0.750 0.750
Rh: 0.000 0.000 0.000
Br: 0.500 0.500 0.500

Properties
space-group type	Fm-3m, No. 225

***

<three>
The following is a PBE-GGA calculation of an optimized crystal structure of Re2RhBr, from Alexandria via LeMat-Bulk.

abc: 3.139 2.966 7.577
angles: 90.00 90.32 90.00
Sites, in units of the cell vectors:
Re: 0.000 0.000 0.000
Re: 0.497 0.500 0.810
Rh: 0.995 0.000 0.590
Br: 0.006 0.500 0.289

Properties
space-group type	Pm, No. 6

***

Of them, <three> has the highest stability.

***

<one>
The following is a PBE-GGA calculation of an optimized crystal structure of Re2RhBr, from Alexandria via LeMat-Bulk.

abc: 4.747 4.747 7.601
angles: 120.05 120.05 35.44
Sites, in units of the cell vectors:
Re: 0.220 0.220 0.350
Re: 0.780 0.780 0.650
Rh: 0.000 0.000 0.500
Br: 0.500 0.500 0.000

Properties
space-group type	C2/m, No. 12

***

<two>
The following is a PBE-GGA calculation of an optimized crystal structure of Re2RhBr, from Alexandria via LeMat-Bulk.

abc: 8.958 8.958 8.958
angles: 18.54 18.54 18.54
Sites, in units of the cell vectors:
Re: 0.000 0.000 0.000
Re: 0.253 0.253 0.253
Rh: 0.506 0.506 0.506
Br: 0.751 0.751 0.751

Properties
space-group type	R3m, No. 160

***

<three>
The following is a PBE-GGA calculation of an optimized crystal structure of Re2RhBr, from Alexandria via LeMat-Bulk.

abc: 2.844 3.787 6.600
angles: 90.00 90.00 90.00
Sites, in units of the cell vectors:
Re: 0.000 0.000 0.186
Re: 0.000 0.000 0.814
Rh: 0.500 0.500 0.000
Br: 0.000 0.500 0.500

Properties
space-group type	Pmmm, No. 47

***

Of them, <two> has the highest stability.

***

<one>
The following is a PBE-GGA calculation of an optimized crystal structure of Re2RhBr, from Alexandria via LeMat-Bulk.

abc: 2.819 2.819 9.477
angles: 90.00 90.00 118.37
Sites, in units of the cell vectors:
Re: 0.000 0.000 0.000
Re: 0.500 0.500 0.227
Rh: 0.500 0.500 0.766
Br: 0.000 0.000 0.503

Properties
space-group type	Cmm2, No. 35

***

<two>
The following is a PBE-GGA calculation of an optimized crystal structure of Re2RhBr, from Alexandria via LeMat-Bulk.

abc: 2.920 2.920 7.581
angles: 90.00 90.00 90.00
Sites, in units of the cell vectors:
Re: 0.000 0.000 0.000
Re: 0.500 0.500 0.222
Rh: 0.000 0.000 0.463
Br: 0.500 0.500 0.743

Properties
space-group type	P4mm, No. 99

***

Of them, <two> has the highest stability.

***

<one>
The following is a PBE-GGA calculation of an optimized crystal structure of ReRh2Br2, from Alexandria via LeMat-Bulk.

abc: 7.278 7.278 3.160
angles: 90.00 90.00 90.00
Sites, in units of the cell vectors:
Re: 0.000 0.000 0.000
Re: 0.500 0.500 0.000
Rh: 0.153 0.347 0.500
Rh: 0.347 0.847 0.500
Rh: 0.653 0.153 0.500
Rh: 0.847 0.653 0.500
Br: 0.159 0.659 0.000
Br: 0.341 0.159 0.000
Br: 0.659 0.841 0.000
Br: 0.841 0.341 0.000

Properties
space-group type	P4/mbm, No. 127

***

<two>
The following is a PBE-GGA calculation of an optimized crystal structure of ReRh2Br2, from Alexandria via LeMat-Bulk.

abc: 9.357 9.357 9.357
angles: 159.25 159.25 29.50
Sites, in units of the cell vectors:
Re: 0.000 0.000 0.000
Rh: 0.250 0.750 0.500
Rh: 0.750 0.250 0.500
Br: 0.414 0.414 0.000
Br: 0.586 0.586 0.000

Properties
space-group type	I4/mmm, No. 139

***

Of them, <one> has the highest stability.

***

<one>
The following is a PBE-GGA calculation of an optimized crystal structure of ReRhBr, from Alexandria via LeMat-Bulk.

abc: 6.348 6.348 6.348
angles: 153.09 153.09 38.43
Sites, in units of the cell vectors:
Re: 0.000 0.000 0.000
Rh: 0.631 0.631 0.000
Br: 0.345 0.345 0.000

Properties
space-group type	I4mm, No. 107

***

<two>
The following is a PBE-GGA calculation of an optimized crystal structure of ReRhBr, from Alexandria via LeMat-Bulk.

abc: 4.226 4.226 3.121
angles: 90.00 90.00 120.00
Sites, in units of the cell vectors:
Re: 0.000 0.000 0.000
Rh: 0.667 0.333 0.458
Br: 0.333 0.667 0.842

Properties
space-group type	P3m1, No. 156

***

<three>
The following is a PBE-GGA calculation of an optimized crystal structure of ReRhBr, from Alexandria via LeMat-Bulk.

abc: 7.496 7.211 2.890
angles: 84.28 73.16 22.56
Sites, in units of the cell vectors:
Re: 0.000 0.000 0.000
Rh: 0.350 0.350 0.650
Br: 0.671 0.671 0.329

Properties
space-group type	Fmm2, No. 42

***

Of them, <one> has the highest stability.

***

<one>
The following is a PBE-GGA calculation of an optimized crystal structure of ReRhBr, from Alexandria via LeMat-Bulk.

abc: 2.972 2.972 6.453
angles: 90.00 90.00 120.00
Sites, in units of the cell vectors:
Re: 0.000 0.000 0.000
Rh: 0.667 0.333 0.307
Br: 0.333 0.667 0.674

Properties
space-group type	P3m1, No. 156

***

<two>
The following is a PBE-GGA calculation of an optimized crystal structure of ReRhBr, from Alexandria via LeMat-Bulk.

abc: 4.274 4.274 4.274
angles: 60.00 60.00 60.00
Sites, in units of the cell vectors:
Re: 0.000 0.000 0.000
Rh: 0.250 0.250 0.250
Br: 0.750 0.750 0.750

Properties
space-group type	F-43m, No. 216

***

Of them, <one> has the highest stability.

***

<one>
The following is a PBE-GGA calculation of an optimized crystal structure of ReRuRh2Br, from Alexandria via LeMat-Bulk.

abc: 4.721 4.721 4.854
angles: 90.00 90.00 90.00
Sites, in units of the cell vectors:
Re: 0.000 0.000 0.000
Ru: 0.500 0.500 0.500
Rh: 0.000 0.500 0.000
Rh: 0.500 0.000 0.000
Br: 0.000 0.000 0.500

Properties
space-group type	P4/mmm, No. 123

***

<two>
The following is a PBE-GGA calculation of an optimized crystal structure of ReRuRh2Br, from Alexandria via LeMat-Bulk.

abc: 4.764 4.764 4.746
angles: 90.00 90.00 90.00
Sites, in units of the cell vectors:
Re: 0.000 0.000 0.000
Ru: 0.000 0.000 0.500
Rh: 0.000 0.500 0.000
Rh: 0.500 0.000 0.000
Br: 0.500 0.500 0.500

Properties
space-group type	P4/mmm, No. 123

***

Of them, <two> has the highest stability.

***

<one>
The following is a PBE-GGA calculation of an optimized crystal structure of Re2RuBr, from Alexandria via LeMat-Bulk.

abc: 2.894 4.148 5.538
angles: 90.00 105.08 90.00
Sites, in units of the cell vectors:
Re: 0.125 0.000 0.225
Re: 0.875 0.000 0.775
Ru: 0.500 0.500 0.000
Br: 0.500 0.500 0.500

Properties
space-group type	P2/m, No. 10

***

<two>
The following is a PBE-GGA calculation of an optimized crystal structure of Re2RuBr, from Alexandria via LeMat-Bulk.

abc: 8.861 8.861 8.861
angles: 18.68 18.68 18.68
Sites, in units of the cell vectors:
Re: 0.248 0.248 0.248
Re: 0.752 0.752 0.752
Ru: 0.500 0.500 0.500
Br: 0.000 0.000 0.000

Properties
space-group type	R-3m, No. 166

***

Of them, <two> has the highest stability.

***

<one>
The following is a PBE-GGA calculation of an optimized crystal structure of Re2RuBr, from Alexandria via LeMat-Bulk.

abc: 5.281 5.281 4.359
angles: 92.81 92.81 32.21
Sites, in units of the cell vectors:
Re: 0.215 0.215 0.220
Re: 0.785 0.785 0.780
Ru: 0.500 0.500 0.000
Br: 0.000 0.000 0.500

Properties
space-group type	C2/m, No. 12

***

<two>
The following is a PBE-GGA calculation of an optimized crystal structure of Re2RuBr, from Alexandria via LeMat-Bulk.

abc: 6.717 6.717 6.717
angles: 129.53 129.53 74.16
Sites, in units of the cell vectors:
Re: 0.109 0.625 0.984
Re: 0.375 0.359 0.484
Re: 0.641 0.125 0.016
Re: 0.875 0.891 0.516
Ru: 0.000 0.000 0.000
Ru: 0.750 0.250 0.500
Br: 0.250 0.750 0.500
Br: 0.500 0.500 0.000

Properties
space-group type	I-42d, No. 122

***

Of them, <one> has the highest stability.

***

<one>
The following is a PBE-GGA calculation of an optimized crystal structure of Re2RuBr, from Alexandria via LeMat-Bulk.

abc: 5.030 5.030 5.030
angles: 135.00 135.00 65.53
Sites, in units of the cell vectors:
Re: 0.250 0.750 0.500
Re: 0.750 0.250 0.500
Ru: 0.000 0.000 0.000
Br: 0.500 0.500 0.000

Properties
space-group type	I4/mmm, No. 139

***

<two>
The following is a PBE-GGA calculation of an optimized crystal structure of Re2RuBr, from Alexandria via LeMat-Bulk.

abc: 5.382 5.382 5.382
angles: 148.28 130.85 59.68
Sites, in units of the cell vectors:
Re: 0.232 0.232 0.000
Re: 0.768 0.768 0.000
Ru: 0.500 0.000 0.500
Br: 0.000 0.500 0.500

Properties
space-group type	Immm, No. 71

***

<three>
The following is a PBE-GGA calculation of an optimized crystal structure of Re2RuBr, from Alexandria via LeMat-Bulk.

abc: 2.791 2.791 9.749
angles: 90.00 90.00 118.39
Sites, in units of the cell vectors:
Re: 0.000 0.000 0.000
Re: 0.500 0.500 0.226
Ru: 0.000 0.000 0.450
Br: 0.500 0.500 0.704

Properties
space-group type	Cmm2, No. 35

***

<four>
The following is a PBE-GGA calculation of an optimized crystal structure of Re2RuBr, from Alexandria via LeMat-Bulk.

abc: 2.873 3.999 5.688
angles: 90.00 104.59 90.00
Sites, in units of the cell vectors:
Re: 0.000 0.000 0.000
Re: 0.379 0.500 0.761
Ru: 0.611 0.500 0.223
Br: 0.229 0.000 0.455

Properties
space-group type	Pm, No. 6

***

Of them, <four> has the highest stability.

***

<one>
The following is a PBE-GGA calculation of an optimized crystal structure of Re2RuBr, from Alexandria via LeMat-Bulk.

abc: 5.131 5.131 2.914
angles: 100.48 100.48 118.46
Sites, in units of the cell vectors:
Re: 0.000 0.500 0.000
Re: 0.500 0.000 0.000
Ru: 0.000 0.000 0.500
Br: 0.500 0.500 0.500

Properties
space-group type	C2/m, No. 12

***

<two>
The following is a PBE-GGA calculation of an optimized crystal structure of Re2RuBr, from Alexandria via LeMat-Bulk.

abc: 2.835 2.835 7.804
angles: 90.00 90.00 90.00
Sites, in units of the cell vectors:
Re: 0.000 0.000 0.235
Re: 0.000 0.000 0.765
Ru: 0.500 0.500 0.000
Br: 0.500 0.500 0.500

Properties
space-group type	P4/mmm, No. 123

***

<three>
The following is a PBE-GGA calculation of an optimized crystal structure of Re2RuBr, from Alexandria via LeMat-Bulk.

abc: 4.605 4.605 2.892
angles: 90.00 90.00 90.00
Sites, in units of the cell vectors:
Re: 0.000 0.500 0.000
Re: 0.500 0.000 0.000
Ru: 0.000 0.000 0.500
Br: 0.500 0.500 0.500

Properties
space-group type	P4/mmm, No. 123

***

Of them, <two> has the highest stability.